## Pr6AlHg2 (PBE)

Data for a geometry-optimized Pr6AlHg2 structure. Values from VASP.

Summary:
Space-group type   Immm, No. 71
Calculated formation energy   -229 meV per atom
N(E_F)   1.34 states/eV/atom

Cell and atoms, written as Quantum ESPRESSO input:
```
&SYSTEM
  ibrav = 0, nat = 18, ntyp = 3
/
ATOMIC_SPECIES
Pr 140.91 Pr.upf
Al 26.98 Al.upf
Hg 200.59 Hg.upf
ATOMIC_POSITIONS crystal
Pr 0.059 0.235 0.824
Pr 0.233 0.561 0.328
Pr 0.233 0.905 0.672
Pr 0.306 0.245 0.551
Pr 0.306 0.755 0.061
Pr 0.412 0.235 0.176
Pr 0.588 0.765 0.824
Pr 0.694 0.245 0.939
Pr 0.694 0.755 0.449
Pr 0.767 0.095 0.328
Pr 0.767 0.439 0.672
Pr 0.941 0.765 0.176
Al 0.500 0.000 0.500
Al 0.500 0.500 0.000
Hg 0.000 0.141 0.141
Hg 0.000 0.859 0.859
Hg 0.145 0.500 0.645
Hg 0.855 0.500 0.355
CELL_PARAMETERS angstrom
-5.161 5.258 5.261
5.161 -5.258 5.261
5.161 5.258 -5.261
```